Material: Mg2ZrTl
Method: DFT, PBE-GGA
State: optimized geometry

```
data_Mg2ZrTl
_symmetry_space_group_name_H-M 'I -4 2 d'
_symmetry_Int_Tables_number 122
_symmetry_space_group_name_Hall 'I -4 2bw'
_cell_length_a 8.091
_cell_length_b 8.091
_cell_length_c 5.996
_cell_angle_alpha 90.00
_cell_angle_beta 90.00
_cell_angle_gamma 90.00
loop_
_atom_site_label
_atom_site_fract_x
_atom_site_fract_y
_atom_site_fract_z
Mg1 0.230 0.250 0.125
Zr1 0.000 0.000 0.500
Tl1 0.000 0.000 0.000
```

- total magnetic moment (μB per atom) = 0.000
- E_tot (Ha/atom) = -0.11898
- polymorph energy (0 for the lowest one) (kJ per mole of atoms) = 38.4
- DOS(E_F) (states/eV/atom) = 1.265
- ΔH_f (0 K) (eV/atom) = 0.288



Material: Tb2NdTlN
Method: DFT, PBE-GGA
State: optimized geometry

```
data_Tb2NdTlN
_symmetry_space_group_name_H-M 'P 4/m m m'
_symmetry_Int_Tables_number 123
_symmetry_space_group_name_Hall '-P 4 2'
_cell_length_a 4.864
_cell_length_b 4.864
_cell_length_c 5.027
_cell_angle_alpha 90.00
_cell_angle_beta 90.00
_cell_angle_gamma 90.00
loop_
_atom_site_label
_atom_site_fract_x
_atom_site_fract_y
_atom_site_fract_z
Tb1 0.000 0.500 0.000
Nd1 0.000 0.000 0.500
Tl1 0.500 0.500 0.500
N1 0.000 0.000 0.000
```

- total magnetic moment (μB per atom) = 0.000
- E_tot (Ha/atom) = -0.21411
- DOS(E_F) (states/eV/atom) = 0.489
- uncorrected formation energy (meV per atom) = -882



Material: Mg3Zn3Pd2
Method: DFT, PBE-GGA
State: optimized geometry

```
data_Mg3Zn3Pd2
_symmetry_space_group_name_H-M 'C m c m'
_symmetry_Int_Tables_number 63
_symmetry_space_group_name_Hall '-C 2c 2'
_cell_length_a 3.065
_cell_length_b 10.192
_cell_length_c 17.310
_cell_angle_alpha 90.00
_cell_angle_beta 90.00
_cell_angle_gamma 90.00
loop_
_atom_site_label
_atom_site_fract_x
_atom_site_fract_y
_atom_site_fract_z
Mg1 0.000 0.034 0.117
Mg2 0.000 0.351 0.250
Zn1 0.000 0.362 0.014
Zn2 0.000 0.380 0.750
Pd1 0.000 0.240 0.625
```

- total magnetic moment (μB per atom) = 0.000
- E_tot (Ha/atom) = -0.10172
- polymorph energy (0 for the lowest one) (kJ per mole of atoms) = 0.0
- DOS(E_F) (states/eV/atom) = 0.353
- ΔH_f (0 K) (eV/atom) = -0.394



Material: Ba2LiAg
Method: DFT, PBE-GGA
State: optimized geometry

```
data_Ba2LiAg
_symmetry_space_group_name_H-M 'I -4 2 d'
_symmetry_Int_Tables_number 122
_symmetry_space_group_name_Hall 'I -4 2bw'
_cell_length_a 9.302
_cell_length_b 9.302
_cell_length_c 7.900
_cell_angle_alpha 90.00
_cell_angle_beta 90.00
_cell_angle_gamma 90.00
loop_
_atom_site_label
_atom_site_fract_x
_atom_site_fract_y
_atom_site_fract_z
Ba1 0.226 0.750 0.125
Li1 0.000 0.000 0.500
Ag1 0.000 0.000 0.000
```

- total magnetic moment (μB per atom) = 0.000
- E_tot (Ha/atom) = -0.07525
- polymorph energy (0 for the lowest one) (kJ per mole of atoms) = 23.6
- DOS(E_F) (states/eV/atom) = 0.885
- ΔH_f (0 K) (eV/atom) = 0.105



Material: Li2CuP2O7
Method: DFT, PBE-GGA
State: optimized geometry

```
data_Li2CuP2O7
_symmetry_space_group_name_H-M 'P 1 21/c 1'
_symmetry_Int_Tables_number 14
_symmetry_space_group_name_Hall '-P 2ybc'
_cell_length_a 5.009
_cell_length_b 13.438
_cell_length_c 9.167
_cell_angle_alpha 90.00
_cell_angle_beta 118.91
_cell_angle_gamma 90.00
loop_
_atom_site_label
_atom_site_fract_x
_atom_site_fract_y
_atom_site_fract_z
Li1 0.050 0.109 0.365
Li2 0.430 0.203 0.176
Cu1 0.047 0.148 0.756
P1 0.257 0.669 0.527
P2 0.487 0.524 0.777
O1 0.009 0.178 0.149
O2 0.189 0.719 0.658
O3 0.238 0.532 0.831
O4 0.263 0.106 0.635
O5 0.313 0.553 0.578
O6 0.385 0.578 0.210
O7 0.437 0.208 0.955
```

- total magnetic moment (μB per atom) = 0.081
- E_tot (Ha/atom) = -0.23717
- polymorph energy (0 for the lowest one) (kJ per mole of atoms) = 3.7
- uncorrected formation energy (meV per atom) = -2000



Material: NiPt2Br
Method: DFT, PBE-GGA
State: optimized geometry

```
data_NiPt2Br
_symmetry_space_group_name_H-M 'R -3 m'
_symmetry_Int_Tables_number 166
_symmetry_space_group_name_Hall '-R 3 2"'
_cell_length_a 2.7797
_cell_length_b 2.7797
_cell_length_c 34.6540
_cell_angle_alpha 90.00
_cell_angle_beta 90.00
_cell_angle_gamma 120.00
loop_
_atom_site_label
_atom_site_fract_x
_atom_site_fract_y
_atom_site_fract_z
Ni1 0.0000 0.0000 0.0000
Pt1 0.0000 0.0000 0.2745
Br1 0.0000 0.0000 0.5000
```

- total magnetic moment (μB per atom) = 0.479
- E_tot (Ha/atom) = -0.16762
- polymorph energy (0 for the lowest one) (kJ per mole of atoms) = 3.3
- DOS(E_F) (states/eV/atom) = 0.905
- uncorrected formation energy (meV per atom) = 323